1.
# Re4Ru (SCAN, single point on PBEsol structure)
# distance to the lowest polymorph of the same formula = 21.57 kcal/mol of atoms
# total moment = 0.00 μB per atom
# formation energy = 1.77 eV per atom
# DOS at the Fermi energy = 1.256 states/eV per atom
# SG = Im-3m
data_Re4Ru
_chemical_formula_sum 'Re4 Ru1'
_space_group_name_H-M_alt 'P 1'
_space_group_IT_number 1
_cell_length_a 4.8656
_cell_length_b 4.8656
_cell_length_c 4.8656
_cell_angle_alpha 109.47
_cell_angle_beta 109.47
_cell_angle_gamma 109.47
loop_
_space_group_symop_operation_xyz
'x,y,z'
loop_
_atom_site_label
_atom_site_type_symbol
_atom_site_fract_x
_atom_site_fract_y
_atom_site_fract_z
_atom_site_occupancy
Re1 Re 0.5000 0.5000 0.5000 1
Re2 Re 0.0000 0.0000 0.5000 1
Re3 Re 0.5000 0.0000 0.0000 1
Ru1 Ru 0.0000 0.0000 0.0000 1
Re4 Re 0.0000 0.5000 0.0000 1


2.
# CrIr2 (SCAN, single point on PBEsol structure)
# total moment = 0.50 μB per atom
# formation energy = -0.28 eV per atom
# DOS at the Fermi energy = 0.812 states/eV per atom
# SG = Cmcm
data_CrIr2
_chemical_formula_sum 'Cr2 Ir4'
_space_group_name_H-M_alt 'P 1'
_space_group_IT_number 1
_cell_length_a 3.7307
_cell_length_b 3.7732
_cell_length_c 5.9202
_cell_angle_alpha 90.00
_cell_angle_beta 108.37
_cell_angle_gamma 90.00
loop_
_space_group_symop_operation_xyz
'x,y,z'
loop_
_atom_site_label
_atom_site_type_symbol
_atom_site_fract_x
_atom_site_fract_y
_atom_site_fract_z
_atom_site_occupancy
Ir1 Ir 0.7507 0.7500 0.5015 1
Ir2 Ir 0.0801 0.7500 0.1602 1
Cr1 Cr 0.5829 0.2500 0.1657 1
Cr2 Cr 0.4171 0.7500 0.8343 1
Ir3 Ir 0.9199 0.2500 0.8398 1
Ir4 Ir 0.2493 0.2500 0.4985 1


3.
# Be2PBr (SCAN, single point on PBEsol structure)
# distance to the lowest polymorph of the same formula = 2.53 kcal/mol of atoms
# total moment = 0.00 μB per atom
# DOS at the Fermi energy = 0.000 states/eV per atom
# SG = R-3m
data_Be2PBr
_chemical_formula_sum 'Be2 P1 Br1'
_space_group_name_H-M_alt 'P 1'
_space_group_IT_number 1
_cell_length_a 3.5294
_cell_length_b 3.5294
_cell_length_c 6.3886
_cell_angle_alpha 73.97
_cell_angle_beta 73.97
_cell_angle_gamma 60.00
loop_
_space_group_symop_operation_xyz
'x,y,z'
loop_
_atom_site_label
_atom_site_type_symbol
_atom_site_fract_x
_atom_site_fract_y
_atom_site_fract_z
_atom_site_occupancy
P1 P 0.5000 0.5000 0.5000 1
Be1 Be 0.8813 0.8813 0.3561 1
Be2 Be 0.1187 0.1187 0.6439 1
Br1 Br 0.0000 0.0000 0.0000 1